1.
This record from Alexandria via LeMat-Bulk describes a relaxed Y2InB2Rh5 crystal. The functional is GGA-PBE.

Total magnetization = 0.0 μB/f.u.
ΔE_f = -777 meV per atom

Cell and atoms, written as CIF:
```
data_Y2InB2Rh5
_space_group_name_H-M_alt 'P 4/m b m'
_space_group_IT_number 127
_space_group_name_Hall '-P 4 2ab'
_cell_length_a 9.684
_cell_length_b 9.684
_cell_length_c 3.229
_cell_angle_alpha 90.00
_cell_angle_beta 90.00
_cell_angle_gamma 90.00
loop_
_atom_site_label
_atom_site_type_symbol
_atom_site_fract_x
_atom_site_fract_y
_atom_site_fract_z
Y1 Y 0.176 0.324 0.000
In1 In 0.000 0.000 0.000
B1 B 0.121 0.621 0.000
Rh1 Rh 0.000 0.500 0.500
Rh2 Rh 0.070 0.773 0.500
```

=====

2.
This record from Alexandria via LeMat-Bulk describes a relaxed CaHf3Zr crystal. The functional is GGA-PBE.

Total magnetization = 0.0 μB/f.u.
ΔE_f = 958 meV per atom
E above lowest polymorph = 0.0 kJ/mol of atoms

Cell and atoms, written as CIF:
```
data_CaHf3Zr
_space_group_name_H-M_alt 'P m -3 m'
_space_group_IT_number 221
_space_group_name_Hall '-P 4 2 3'
_cell_length_a 5.253
_cell_length_b 5.253
_cell_length_c 5.253
_cell_angle_alpha 90.00
_cell_angle_beta 90.00
_cell_angle_gamma 90.00
loop_
_atom_site_label
_atom_site_type_symbol
_atom_site_fract_x
_atom_site_fract_y
_atom_site_fract_z
Ca1 Ca 0.000 0.000 0.000
Hf1 Hf 0.000 0.500 0.500
Zr1 Zr 0.500 0.500 0.500
```

=====

3.
This record from Alexandria via LeMat-Bulk describes a relaxed SbAsOs2 crystal. The functional is GGA-PBE.

Total magnetization = 0.0 μB/f.u.
E above lowest polymorph = 14.3 kJ/mol of atoms
Uncorrected formation energy = 1.8 eV/f.u.

Cell and atoms, written as CIF:
```
data_SbAsOs2
_space_group_name_H-M_alt 'R 3 m'
_space_group_IT_number 160
_space_group_name_Hall 'R 3 -2"'
_cell_length_a 2.9877
_cell_length_b 2.9877
_cell_length_c 30.3144
_cell_angle_alpha 90.00
_cell_angle_beta 90.00
_cell_angle_gamma 120.00
loop_
_atom_site_label
_atom_site_type_symbol
_atom_site_fract_x
_atom_site_fract_y
_atom_site_fract_z
Sb1 Sb 0.0000 0.0000 0.0000
As1 As 0.0000 0.0000 0.7960
Os1 Os 0.0000 0.0000 0.2613
Os2 Os 0.0000 0.0000 0.5238
```